Material: As4Pb6I
Method: DFT, PBE
State: optimized geometry

Results
Uncorrected formation energy, eV per atom: -0.06

Unit cell a=4.3541 b=7.6081 c=21.7785 alpha=90.00 beta=90.00 gamma=106.63
Closest atoms and distances in Å follow each position.
Positions (direct):
Pb  0.7711  0.5423  0.4273  5 As 2.94-3.19
Pb  0.5000  0.0000  0.0000  6 As 2.98-3.09
Pb  0.0323  0.0646  0.1621  3 As 2.92
Pb  0.9677  0.9354  0.8379  3 As 2.92
Pb  0.5000  0.0000  0.5000  6 As 2.98-3.09
Pb  0.7711  0.5423  0.0727  5 As 2.94-3.19
Pb  0.2289  0.4577  0.9273  5 As 2.94-3.19
Pb  0.6443  0.2887  0.7500  2 As 2.87, 2 I 3.21
Pb  0.9677  0.9354  0.6621  3 As 2.92
Pb  0.2289  0.4577  0.5727  5 As 2.94-3.19
Pb  0.3557  0.7113  0.2500  2 As 2.87, 2 I 3.21
Pb  0.0323  0.0646  0.3379  3 As 2.92
As  0.1336  0.2672  0.4537  6 Pb 2.92-3.09
As  0.5882  0.1764  0.6236  6 Pb 2.87-3.19
As  0.8664  0.7328  0.5463  6 Pb 2.92-3.09
As  0.1336  0.2672  0.0463  6 Pb 2.92-3.09
As  0.4118  0.8236  0.1236  6 Pb 2.87-3.19
As  0.4118  0.8236  0.3764  6 Pb 2.87-3.19
As  0.8664  0.7328  0.9537  6 Pb 2.92-3.09
As  0.5882  0.1764  0.8764  6 Pb 2.87-3.19
I  0.6938  0.3877  0.2500  2 Pb 3.21
I  0.3062  0.6123  0.7500  2 Pb 3.21

***

Material: Ce2HoGe3Rh4
Method: DFT, PBE
State: optimized geometry

Results
E_form, eV/atom: -0.8626

Unit cell a=4.1532 b=4.1532 c=11.2700 alpha=90.00 beta=90.00 gamma=90.00
Closest atoms and distances in Å follow each position.
Positions (direct):
Rh  0.5000  0.5000  0.0000  4 Ge 2.49
Rh  0.0000  0.5000  0.3391  1 Ge 2.45
Rh  0.5000  0.0000  0.6609  1 Ge 2.45
Rh  0.0000  0.0000  0.0000  4 Ge 2.49
Ge  0.0000  0.0000  0.5000  4 Rh 2.76, 4 Ho 2.94
Ge  0.0000  0.5000  0.1213  5 Rh 2.45-2.49
Ge  0.5000  0.0000  0.8787  5 Rh 2.45-2.49
Ce  0.5000  0.0000  0.2320  8 Rh 3.17-3.34, 4 Ge 3.19
Ce  0.0000  0.5000  0.7680  8 Rh 3.17-3.34, 4 Ge 3.19
Ho  0.5000  0.5000  0.5000  4 Rh 2.76, 4 Ge 2.94

***

Material: ZnCr2Rh2
Method: DFT, PBE
State: optimized geometry

Results
E_form, eV/atom: 0.0701
Excess energy over the best structure of this formula in the dataset, meV/atom: 0

Unit cell a=7.1970 b=7.1970 c=2.6938 alpha=90.00 beta=90.00 gamma=90.00
Closest atoms and distances in Å follow each position.
Positions (direct):
Zn  0.0000  0.0000  0.0000  2 Zn 2.69, 4 Cr 2.91, 8 Rh 2.97
Zn  0.5000  0.5000  0.0000  2 Zn 2.69, 4 Cr 2.91, 8 Rh 2.97
Cr  0.3897  0.8897  0.0000  1 Cr 2.25
Cr  0.6103  0.1103  0.0000  1 Cr 2.25
Cr  0.1103  0.3897  0.0000  1 Cr 2.25
Cr  0.8897  0.6103  0.0000  1 Cr 2.25
Rh  0.3222  0.1778  0.5000  6 Cr 2.52-2.54, 2 Rh 2.69
Rh  0.6778  0.8222  0.5000  6 Cr 2.52-2.54, 2 Rh 2.69
Rh  0.8222  0.3222  0.5000  6 Cr 2.52-2.54, 2 Rh 2.69
Rh  0.1778  0.6778  0.5000  6 Cr 2.52-2.54, 2 Rh 2.69

***

Material: Tl5S2F
Method: DFT, PBE
State: optimized geometry

Results
Uncorrected formation energy, eV per atom: -0.58

Unit cell a=5.3983 b=8.3127 c=14.1993 alpha=90.00 beta=90.00 gamma=108.95
Closest atoms and distances in Å follow each position.
Positions (direct):
Tl  0.6876  0.3753  0.5738  1 F 2.50
Tl  0.3124  0.6247  0.0738  1 F 2.50
Tl  0.2173  0.4346  0.7500  2 F 2.73, 2 S 2.96
Tl  0.6876  0.3753  0.9262  1 F 2.50
Tl  0.9262  0.8523  0.6146  2 S 2.74-2.91
Tl  0.9262  0.8523  0.8854  2 S 2.74-2.91
Tl  0.0738  0.1477  0.3854  2 S 2.74-2.91
Tl  0.7827  0.5654  0.2500  2 F 2.73, 2 S 2.96
Tl  0.3124  0.6247  0.4262  1 F 2.50
Tl  0.0738  0.1477  0.1146  2 S 2.74-2.91
S  0.9014  0.8028  0.0886  5 Tl 2.74-3.05
S  0.0986  0.1972  0.5886  5 Tl 2.74-3.05
S  0.0986  0.1972  0.9114  5 Tl 2.74-3.05
S  0.9014  0.8028  0.4114  5 Tl 2.74-3.05
F  0.6933  0.3866  0.7500  4 Tl 2.50-2.73
F  0.3067  0.6133  0.2500  4 Tl 2.50-2.73

***

Material: LiRhSe2
Method: DFT, PBE
State: optimized geometry

Results
Uncorrected formation energy, eV per atom: -0.67

Unit cell a=3.7671 b=3.7671 c=6.6558 alpha=73.56 beta=73.56 gamma=60.00
Closest atoms and distances in Å follow each position.
Positions (direct):
Se  0.2628  0.2628  0.2115  3 Rh 2.53, 3 Li 2.75
Se  0.0661  0.0661  0.8017  3 Rh 2.53
Li  0.5068  0.5068  0.4797  6 Se 2.75-2.97, 1 Rh 2.97
Rh  0.6643  0.6643  0.0070  6 Se 2.53

***

Material: Na2Ga3Pd2
Method: DFT, PBE
State: optimized geometry

Results
E_form, eV/atom: -0.4056

Unit cell a=4.0987 b=5.6452 c=7.2911 alpha=114.78 beta=90.00 gamma=111.29
Closest atoms and distances in Å follow each position.
Positions (direct):
Pd  0.1227  0.2455  0.2085  5 Ga 2.53-2.62
Pd  0.8773  0.7545  0.7915  5 Ga 2.53-2.62
Ga  0.5000  0.0000  0.0000  4 Pd 2.53
Ga  0.3537  0.7074  0.5542  3 Pd 2.60-2.62, 3 Ga 2.83-2.90
Ga  0.6463  0.2926  0.4458  3 Pd 2.60-2.62, 3 Ga 2.83-2.90
Na  0.8514  0.7027  0.2198  3 Pd 2.89-3.13, 2 Ga 3.18
Na  0.1486  0.2973  0.7802  3 Pd 2.89-3.13, 2 Ga 3.18

***

Material: Co2TcSbN
Method: DFT, PBE
State: optimized geometry

Results
Uncorrected formation energy, eV per atom: 0.14

Unit cell a=3.9319 b=3.9319 c=4.0507 alpha=90.00 beta=90.00 gamma=90.00
Closest atoms and distances in Å follow each position.
Positions (direct):
Co  0.0000  0.5000  0.0000  2 N 1.97
Co  0.5000  0.0000  0.0000  2 N 1.97
Sb  0.5000  0.5000  0.5000  4 Tc 2.78, 8 Co 2.82
Tc  0.0000  0.0000  0.5000  2 N 2.03
N  0.0000  0.0000  0.0000  4 Co 1.97, 2 Tc 2.03

***

Material: AcSmSc2
Method: DFT, PBE
State: optimized geometry

Results
E_form, eV/atom: 0.1437
Excess energy over the best structure of this formula in the dataset, meV/atom: 57

Unit cell a=3.6046 b=3.6046 c=11.3357 alpha=80.85 beta=80.85 gamma=60.00
Closest atoms and distances in Å follow each position.
Positions (direct):
Sc  0.0853  0.0853  0.7440  3 Sm 3.42, 3 Ac 3.53, 6 Sc 3.60
Sc  0.2480  0.2480  0.2561  3 Sm 3.42, 3 Ac 3.53, 6 Sc 3.60
Ac  0.6667  0.6667  0.9998  6 Sc 3.53, 6 Ac 3.60
Sm  0.4999  0.4999  0.5002  6 Sc 3.42, 6 Sm 3.60

***

Material: Tb12SmDy3
Method: DFT, PBE
State: optimized geometry

Results
E_form, eV/atom: 0.0166

Unit cell a=5.0352 b=5.0352 c=20.1390 alpha=90.00 beta=90.00 gamma=90.00
Closest atoms and distances in Å follow each position.
Positions (direct):
Tb  0.5000  0.5000  0.5000  8 Tb 3.56, 4 Dy 3.56
Tb  0.5000  0.5000  0.2509  8 Tb 3.55-3.56, 4 Dy 3.56
Tb  0.5000  0.0000  0.1260  2 Dy 3.55, 8 Tb 3.56-3.57, 2 Sm 3.57
Tb  0.0000  0.5000  0.6247  8 Tb 3.55-3.56, 4 Dy 3.56
Tb  0.5000  0.0000  0.8740  2 Dy 3.55, 8 Tb 3.56-3.57, 2 Sm 3.57
Tb  0.5000  0.5000  0.0000  4 Sm 3.56, 8 Tb 3.57
Tb  0.0000  0.5000  0.1260  2 Dy 3.55, 8 Tb 3.56-3.57, 2 Sm 3.57
Tb  0.0000  0.5000  0.3753  8 Tb 3.55-3.56, 4 Dy 3.56
Tb  0.5000  0.0000  0.6247  8 Tb 3.55-3.56, 4 Dy 3.56
Tb  0.5000  0.5000  0.7491  8 Tb 3.55-3.56, 4 Dy 3.56
Tb  0.5000  0.0000  0.3753  8 Tb 3.55-3.56, 4 Dy 3.56
Tb  0.0000  0.5000  0.8740  2 Dy 3.55, 8 Tb 3.56-3.57, 2 Sm 3.57
Dy  0.0000  0.0000  0.7494  12 Tb 3.55-3.56
Dy  0.0000  0.0000  0.2506  12 Tb 3.55-3.56
Dy  0.0000  0.0000  0.5000  12 Tb 3.56
Sm  0.0000  0.0000  0.0000  12 Tb 3.56-3.57

***

Material: K2InGa
Method: DFT, PBE
State: optimized geometry

Results
E_form, eV/atom: 0.2907
Excess energy over the best structure of this formula in the dataset, meV/atom: 389

Unit cell a=3.6464 b=3.6464 c=12.9748 alpha=81.92 beta=81.92 gamma=60.00
Closest atoms and distances in Å follow each position.
Positions (direct):
K  0.0871  0.0871  0.7387  1 Ga 3.35, 6 K 3.65, 3 In 3.71
K  0.9129  0.9129  0.2613  1 Ga 3.35, 6 K 3.65, 3 In 3.71
In  0.5000  0.5000  0.5000  6 In 3.65, 6 K 3.71
Ga  0.0000  0.0000  0.0000  2 K 3.35, 6 Ga 3.65

***

Material: RbI2O5
Method: DFT, PBE
State: optimized geometry

Results
Uncorrected formation energy, eV per atom: -0.23

Unit cell a=4.6020 b=6.5507 c=6.5507 alpha=55.52 beta=69.44 gamma=69.44
Closest atoms and distances in Å follow each position.
Positions (direct):
O  0.6730  0.0570  0.5970  1 I 1.89
O  0.3270  0.9430  0.4030  1 I 1.89
O  0.6730  0.5970  0.0570  1 I 1.89
O  0.0000  0.5000  0.5000  2 I 2.21
O  0.3270  0.4030  0.9430  1 I 1.89
I  0.2081  0.2919  0.2919  2 O 1.89
I  0.7919  0.7081  0.7081  2 O 1.89
Rb  0.0000  0.0000  0.0000  10 O 3.05-3.26

***

Material: AgTeCl6
Method: DFT, PBE
State: optimized geometry

Results
Uncorrected formation energy, eV per atom: -0.44
Excess energy over the best structure of this formula in the dataset, meV/atom: 0

Unit cell a=6.4083 b=6.4212 c=6.9407 alpha=62.45 beta=82.60 gamma=73.83
Closest atoms and distances in Å follow each position.
Positions (direct):
Cl  0.7415  0.7459  0.0000  1 Te 2.50, 1 Ag 2.63
Cl  0.2630  0.5899  0.2866  1 Te 2.53, 1 Ag 2.70
Cl  0.7370  0.1235  0.2866  1 Te 2.53, 1 Ag 2.70
Cl  0.2585  0.2541  0.0000  1 Te 2.50, 1 Ag 2.63
Cl  0.2630  0.8765  0.7134  1 Te 2.53, 1 Ag 2.70
Cl  0.7370  0.4101  0.7134  1 Te 2.53, 1 Ag 2.70
Te  0.5000  0.5000  0.0000  6 Cl 2.50-2.53
Ag  0.0000  0.0000  0.0000  6 Cl 2.63-2.70

***

E for every record listed, in sequence, given in eV/atom: -3.92, -6.83, -6.97, -3.33, -4.73, -3.56, -7.26, -5.23, -4.61, -1.70, -3.84, -2.58.
Theoretical density for every record listed, in sequence, given in g/cm3: 8.02, 9.18, 8.93, 6.09, 5.75, 5.54, 9.32, 6.19, 8.28, 2.96, 4.66, 3.06.